First-principles (GGA-PBE) data for a geometry-optimized Mo2P3 structure, as listed in Alexandria. Values from VASP.

```
&SYSTEM
  ibrav = 0, nat = 5, ntyp = 2
/
ATOMIC_SPECIES
Mo 95.94 Mo.upf
P 30.97 P.upf
ATOMIC_POSITIONS crystal
Mo 0.3333 0.6667 0.3439
Mo 0.6667 0.3333 0.6561
P 0.0000 0.0000 0.5000
P 0.3333 0.6667 0.8411
P 0.6667 0.3333 0.1589
CELL_PARAMETERS angstrom
4.2311 0.0000 0.0000
-2.1155 3.6642 0.0000
0.0000 0.0000 5.0425
```

Computed properties:
Symmetry: P-3m1, No. 164
Total magnetic moment in Bohr magnetons per cell: 0.0
ΔE_f in eV/atom: -0.072

First-principles (GGA-PBE) data for a geometry-optimized MoP5 structure, as listed in Alexandria. Values from VASP.

```
&SYSTEM
  ibrav = 0, nat = 6, ntyp = 2
/
ATOMIC_SPECIES
Mo 95.94 Mo.upf
P 30.97 P.upf
ATOMIC_POSITIONS crystal
Mo 0.0000 0.0000 0.0000
P 0.0000 0.5000 0.5000
P 0.3333 0.6667 0.0000
P 0.5000 0.0000 0.5000
P 0.5000 0.5000 0.5000
P 0.6667 0.3333 0.0000
CELL_PARAMETERS angstrom
4.4275 0.0000 0.0000
-2.2138 3.8343 0.0000
0.0000 0.0000 6.6098
```

Computed properties:
Symmetry: P6/mmm, No. 191
Total magnetic moment in Bohr magnetons per cell: 1.5
Relative energy among the computed polymorphs in meV/atom: 692
ΔE_f in eV/atom: 0.752

First-principles (GGA-PBE) data for a geometry-optimized Mo5P3 structure, as listed in Alexandria. Values from VASP.

```
&SYSTEM
  ibrav = 0, nat = 16, ntyp = 2
/
ATOMIC_SPECIES
Mo 95.94 Mo.upf
P 30.97 P.upf
ATOMIC_POSITIONS crystal
Mo 0.0000 0.2405 0.2500
Mo 0.0000 0.7595 0.7500
Mo 0.2405 0.0000 0.2500
Mo 0.2405 0.2405 0.7500
Mo 0.3333 0.6667 0.0000
Mo 0.3333 0.6667 0.5000
Mo 0.6667 0.3333 0.0000
Mo 0.6667 0.3333 0.5000
Mo 0.7595 0.0000 0.7500
Mo 0.7595 0.7595 0.2500
P 0.0000 0.3891 0.7500
P 0.0000 0.6109 0.2500
P 0.3891 0.0000 0.7500
P 0.3891 0.3891 0.2500
P 0.6109 0.0000 0.2500
P 0.6109 0.6109 0.7500
CELL_PARAMETERS angstrom
7.0850 0.0000 0.0000
-3.5425 6.1358 0.0000
0.0000 0.0000 5.2064
```

Computed properties:
Symmetry: P6_3/mcm, No. 193
Total magnetic moment in Bohr magnetons per cell: 0.0
Relative energy among the computed polymorphs in meV/atom: 47
ΔE_f in eV/atom: -0.332

First-principles (GGA-PBE) data for a geometry-optimized MoP5 structure, as listed in Alexandria. Values from VASP.

```
&SYSTEM
  ibrav = 0, nat = 6, ntyp = 2
/
ATOMIC_SPECIES
Mo 95.94 Mo.upf
P 30.97 P.upf
ATOMIC_POSITIONS crystal
Mo 0.0000 0.0000 0.0000
P 0.0000 0.0000 0.3873
P 0.0000 0.0000 0.6127
P 0.5000 0.5000 0.1241
P 0.5000 0.5000 0.5000
P 0.5000 0.5000 0.8759
CELL_PARAMETERS angstrom
3.1886 0.0000 0.0000
0.0000 3.1886 0.0000
0.0000 0.0000 9.8925
```

Computed properties:
Symmetry: P4/mmm, No. 123
Total magnetic moment in Bohr magnetons per cell: 0.0
Relative energy among the computed polymorphs in meV/atom: 241
ΔE_f in eV/atom: 0.301